# Ca2ErAg4 | Alexandria | GGA-PBE | relaxed
# crystal system = tetragonal
data_Ca2ErAg4
_symmetry_space_group_name_H-M 'P 1'
_symmetry_Int_Tables_number 1
_symmetry_space_group_name_Hall 'P 1'
_cell_length_a 5.296
_cell_length_b 5.296
_cell_length_c 7.558
_cell_angle_alpha 110.51
_cell_angle_beta 110.51
_cell_angle_gamma 90.00
loop_
_atom_site_label
_atom_site_type_symbol
_atom_site_fract_x
_atom_site_fract_y
_atom_site_fract_z
Ca1 Ca 0.725 0.725 0.451
Ag1 Ag 0.612 0.112 0.224
Er1 Er 0.000 0.000 0.000
Ag2 Ag 0.112 0.612 0.224
Ca2 Ca 0.275 0.275 0.549
Ag3 Ag 0.388 0.888 0.776
Ag4 Ag 0.888 0.388 0.776

---

# CaEr4Ag5 | Alexandria | GGA-PBE | relaxed
# crystal system = tetragonal
data_CaEr4Ag5
_symmetry_space_group_name_H-M 'P 1'
_symmetry_Int_Tables_number 1
_symmetry_space_group_name_Hall 'P 1'
_cell_length_a 3.593
_cell_length_b 3.593
_cell_length_c 18.419
_cell_angle_alpha 90.00
_cell_angle_beta 90.00
_cell_angle_gamma 90.00
loop_
_atom_site_label
_atom_site_type_symbol
_atom_site_fract_x
_atom_site_fract_y
_atom_site_fract_z
Ca1 Ca 0.000 0.000 0.000
Ag1 Ag 0.500 0.500 0.302
Ag2 Ag 0.500 0.500 0.890
Er1 Er 0.000 0.000 0.401
Er2 Er 0.000 0.000 0.797
Ag3 Ag 0.500 0.500 0.698
Ag4 Ag 0.500 0.500 0.500
Er3 Er 0.000 0.000 0.599
Ag5 Ag 0.500 0.500 0.110
Er4 Er 0.000 0.000 0.203

---

no.,ΔE_f (eV/atom),calculated volume (Å³ per atom),raw total energy (eV per atom)
1,-0.1210,26.302,-2.97
2,-0.3319,23.783,-3.78